ZnAs2SeBr | Alexandria via LeMat-Bulk | SCAN | PBEsol geometry; formation energy from raw total energies = 839 meV/atom; total moment = 1.3 μB per cell; SG = P4/mmm, No. 123
1.0
-0.249 -4.885 1.112
3.439 0.643 3.594
-3.737 0.965 3.403
Se As Zn Br
1 2 1 1
Direct
0.000 0.000 0.000 Se
0.500 0.000 0.000 As
0.000 0.500 0.000 As
0.500 0.500 0.500 Zn
0.000 0.000 0.500 Br

***

TlReRh2 | Alexandria via LeMat-Bulk | SCAN | PBEsol geometry; total moment = 1.2 μB per cell; energy of formation from the pure elements = 0.47 eV/atom; SG = P4/mmm, No. 123; polymorph energy (0 for the lowest one) = 0.27 eV/f.u.
1.0
-1.540 0.364 -2.327
-3.216 -3.025 1.655
-2.288 3.565 2.070
Re Tl Rh
1 1 2
Direct
0.500 0.000 0.000 Re
0.500 0.500 0.500 Tl
0.000 0.500 0.000 Rh
0.000 0.000 0.500 Rh

***

LaBiSbTe2 | Alexandria via LeMat-Bulk | SCAN | PBEsol geometry; formation energy from raw total energies = 284 meV/atom; total moment = 0.0 μB per cell; SG = P4/mmm, No. 123
1.0
5.931 0.000 0.000
0.000 5.931 0.000
0.000 0.000 5.984
La Te Bi Sb
1 2 1 1
Direct
0.000 0.000 0.000 La
0.500 0.000 0.000 Te
0.000 0.500 0.000 Te
0.500 0.500 0.500 Bi
0.000 0.000 0.500 Sb

***

AlTcNi3 | Alexandria via LeMat-Bulk | SCAN | PBEsol geometry; total moment = 0.0 μB per cell; energy of formation from the pure elements = 1.33 eV/atom; SG = Pm-3m, No. 221
1.0
4.374 0.000 0.000
0.000 4.374 0.000
0.000 0.000 4.374
Tc Ni Al
1 3 1
Direct
0.000 0.000 0.000 Tc
0.000 0.000 0.500 Ni
0.500 0.000 0.000 Ni
0.000 0.500 0.000 Ni
0.500 0.500 0.500 Al

***

Y2SiAg | Alexandria via LeMat-Bulk | SCAN | PBEsol geometry; formation energy from raw total energies = -376 meV/atom; total moment = 0.0 μB per cell; SG = I-4m2, No. 119
1.0
-2.430 -1.510 3.000
3.281 -0.280 2.517
-1.302 5.615 -1.092
Ag Y Si
1 2 1
Direct
0.500 0.500 0.000 Ag
0.750 0.250 0.500 Y
0.000 0.000 0.000 Y
0.250 0.750 0.500 Si

***

LiSiPb2 | Alexandria via LeMat-Bulk | SCAN | PBEsol geometry; formation energy from raw total energies = 155 meV/atom; total moment = 0.0 μB per cell; SG = P4/mmm, No. 123
1.0
3.767 0.000 0.058
0.000 3.768 0.000
-0.096 0.000 6.468
Si Pb Li
1 2 1
Direct
0.500 0.500 0.000 Si
0.000 0.000 0.761 Pb
0.000 0.000 0.239 Pb
0.500 0.500 0.500 Li

***

BeCoP2 | Alexandria via LeMat-Bulk | SCAN | PBEsol geometry; total moment = 0.0 μB per cell; energy of formation from the pure elements = 0.04 eV/atom; SG = C2/m, No. 12
1.0
3.127 0.000 0.000
-1.564 3.442 -0.022
0.000 -0.479 4.217
Be Co P
1 1 2
Direct
0.500 0.000 0.000 Be
0.000 0.000 0.500 Co
0.728 0.455 0.723 P
0.272 0.545 0.277 P

***

BeSiS2N | Alexandria via LeMat-Bulk | SCAN | PBEsol geometry; formation energy from raw total energies = 447 meV/atom; total moment = 0.0 μB per cell; SG = P4/mmm, No. 123
1.0
3.278 0.000 0.000
0.000 4.639 0.000
0.000 0.000 4.639
S N Be Si
2 1 1 1
Direct
0.000 0.500 0.000 S
0.000 0.000 0.500 S
0.500 0.000 0.000 N
0.500 0.500 0.500 Be
0.000 0.000 0.000 Si

***

InHgOs2I | Alexandria via LeMat-Bulk | SCAN | PBEsol geometry; formation energy from raw total energies = 2227 meV/atom; total moment = 4.3 μB per cell; SG = P4/mmm, No. 123
1.0
5.016 0.000 0.000
0.000 5.016 0.000
0.000 0.000 5.202
Os Hg In I
2 1 1 1
Direct
0.000 0.500 0.000 Os
0.500 0.000 0.000 Os
0.000 0.000 0.500 Hg
0.000 0.000 0.000 In
0.500 0.500 0.500 I

***

Tc3P | Alexandria via LeMat-Bulk | SCAN | PBEsol geometry; total moment = 0.0 μB per cell; energy of formation from the pure elements = -0.27 eV/atom; SG = P4/mmm, No. 123; polymorph energy (0 for the lowest one) = 0.40 eV/f.u.
1.0
2.853 0.000 0.000
0.000 2.853 0.000
0.000 0.000 6.436
Tc P
3 1
Direct
0.500 0.500 0.778 Tc
0.000 0.000 0.500 Tc
0.500 0.500 0.222 Tc
0.000 0.000 0.000 P

***

Cd2NiMo | Alexandria via LeMat-Bulk | SCAN | PBEsol geometry; total moment = 1.8 μB per cell; energy of formation from the pure elements = 0.52 eV/atom; SG = I-4m2, No. 119; polymorph energy (0 for the lowest one) = 0.48 eV/f.u.
1.0
-3.155 0.034 2.677
2.232 -2.251 2.660
1.796 4.242 -1.135
Cd Ni Mo
2 1 1
Direct
0.750 0.250 0.500 Cd
0.000 0.000 0.000 Cd
0.250 0.750 0.500 Ni
0.500 0.500 0.000 Mo

***

AlOs2Pt | Alexandria via LeMat-Bulk | SCAN | PBEsol geometry; total moment = 0.0 μB per cell; energy of formation from the pure elements = -0.02 eV/atom; SG = P4/mmm, No. 123
1.0
2.745 0.000 0.000
0.000 2.745 0.000
0.000 0.000 7.468
Al Pt Os
1 1 2
Direct
0.500 0.500 0.500 Al
0.500 0.500 0.000 Pt
0.000 0.000 0.258 Os
0.000 0.000 0.742 Os

***

Re2PtRh | Alexandria via LeMat-Bulk | SCAN | PBEsol geometry; total moment = 0.0 μB per cell; energy of formation from the pure elements = -0.05 eV/atom; SG = R3m, No. 160; polymorph energy (0 for the lowest one) = 0.48 eV/f.u.
1.0
2.730 0.000 0.000
1.365 2.365 0.000
1.365 0.788 8.908
Re Rh Pt
2 1 1
Direct
0.001 0.001 0.996 Re
0.750 0.750 0.749 Re
0.498 0.498 0.507 Rh
0.250 0.250 0.249 Pt

***

Zr3P | Alexandria via LeMat-Bulk | SCAN | PBEsol geometry; total moment = 0.0 μB per cell; energy of formation from the pure elements = -0.92 eV/atom; SG = Pnma, No. 62; polymorph energy (0 for the lowest one) = 0.08 eV/f.u.
1.0
-4.719 0.714 2.601
-1.390 -6.610 -0.707
3.749 -1.562 7.231
Zr P
12 4
Direct
0.885 0.977 0.250 Zr
0.136 0.312 0.456 Zr
0.864 0.688 0.544 Zr
0.636 0.188 0.956 Zr
0.364 0.812 0.044 Zr
0.136 0.312 0.044 Zr
0.385 0.523 0.750 Zr
0.864 0.688 0.956 Zr
0.115 0.023 0.750 Zr
0.615 0.477 0.250 Zr
0.636 0.188 0.544 Zr
0.364 0.812 0.456 Zr
0.912 0.390 0.750 P
0.088 0.610 0.250 P
0.588 0.890 0.750 P
0.412 0.110 0.250 P

***

RePb2Br | Alexandria via LeMat-Bulk | SCAN | PBEsol geometry; formation energy from raw total energies = 666 meV/atom; total moment = 0.0 μB per cell; SG = R3m, No. 160; polymorph energy (0 for the lowest one) = 0.06 eV/f.u.
1.0
3.297 0.000 0.000
1.648 2.855 0.000
1.648 0.952 9.807
Pb Re Br
2 1 1
Direct
0.000 0.000 0.999 Pb
0.765 0.765 0.706 Pb
0.504 0.504 0.487 Re
0.231 0.231 0.308 Br

***

KNaAs3 | Alexandria via LeMat-Bulk | SCAN | PBEsol geometry; total moment = 0.0 μB per cell; energy of formation from the pure elements = 0.56 eV/atom; SG = Pm-3m, No. 221
1.0
5.096 0.000 0.000
0.000 5.096 0.000
0.000 0.000 5.096
K As Na
1 3 1
Direct
0.500 0.500 0.500 K
0.500 0.000 0.000 As
0.000 0.500 0.000 As
0.000 0.000 0.500 As
0.000 0.000 0.000 Na

***

Cd2AgHg | Alexandria via LeMat-Bulk | SCAN | PBEsol geometry; total moment = 0.0 μB per cell; energy of formation from the pure elements = 0.00 eV/atom; SG = P4/mmm, No. 123
1.0
-3.465 -2.138 -0.613
1.766 -3.431 1.986
-1.542 1.408 3.804
Cd Ag Hg
2 1 1
Direct
0.000 0.000 0.500 Cd
0.000 0.500 0.000 Cd
0.500 0.000 0.000 Ag
0.500 0.500 0.500 Hg

***

CoOs3N | Alexandria via LeMat-Bulk | SCAN | PBEsol geometry; formation energy from raw total energies = 3210 meV/atom; total moment = 3.3 μB per cell; SG = Pm-3m, No. 221
1.0
-0.774 -2.323 3.568
4.080 -1.443 -0.055
1.219 3.354 2.448
Os N Co
3 1 1
Direct
0.500 0.000 0.000 Os
0.000 0.500 0.000 Os
0.000 0.000 0.500 Os
0.500 0.500 0.500 N
0.000 0.000 0.000 Co

***

Ba2SeF2 | Alexandria via LeMat-Bulk | SCAN | PBEsol geometry; formation energy from raw total energies = -3355 meV/atom; total moment = 0.0 μB per cell; SG = I4/mmm, No. 139
1.0
-0.382 4.027 1.031
-2.931 -0.995 2.801
6.512 -2.285 2.892
Ba F Se
2 2 1
Direct
0.635 0.635 0.270 Ba
0.365 0.365 0.730 Ba
0.250 0.750 0.500 F
0.750 0.250 0.500 F
0.000 0.000 0.000 Se

***

Co2CuPb | Alexandria via LeMat-Bulk | SCAN | PBEsol geometry; total moment = 3.1 μB per cell; energy of formation from the pure elements = 0.76 eV/atom; SG = R-3m, No. 166
1.0
3.005 0.000 0.000
1.502 2.602 0.000
1.502 0.867 7.521
Co Cu Pb
2 1 1
Direct
0.758 0.758 0.726 Co
0.242 0.242 0.274 Co
0.500 0.500 0.500 Cu
0.000 0.000 0.000 Pb

***

CaPbW2 | Alexandria via LeMat-Bulk | SCAN | PBEsol geometry; total moment = 0.0 μB per cell; energy of formation from the pure elements = 0.94 eV/atom; SG = Pmmm, No. 47
1.0
-2.540 -1.642 1.950
2.546 -3.646 0.246
2.017 1.681 4.041
Pb Ca W
1 1 2
Direct
0.000 0.500 0.500 Pb
0.500 0.000 0.500 Ca
0.500 0.500 0.000 W
0.000 0.000 0.000 W

***

Cd2MoW | Alexandria via LeMat-Bulk | SCAN | PBEsol geometry; total moment = 0.0 μB per cell; energy of formation from the pure elements = 0.59 eV/atom; SG = P4/mmm, No. 123; polymorph energy (0 for the lowest one) = 0.46 eV/f.u.
1.0
3.863 0.000 0.000
0.000 3.863 0.000
0.000 0.000 4.560
Mo Cd W
1 2 1
Direct
0.500 0.500 0.500 Mo
0.500 0.000 0.000 Cd
0.000 0.500 0.000 Cd
0.000 0.000 0.500 W

***

La5Ru3 | Alexandria via LeMat-Bulk | SCAN | PBEsol geometry; total moment = 0.0 μB per cell; energy of formation from the pure elements = -0.27 eV/atom; SG = P6_3/mcm, No. 193; polymorph energy (0 for the lowest one) = 0.00 eV/f.u.
1.0
6.788 0.000 0.000
0.000 8.175 0.000
0.000 -4.087 7.080
La Ru
10 6
Direct
0.500 0.667 0.333 La
0.250 0.752 0.752 La
0.750 0.248 0.248 La
0.250 0.248 0.000 La
0.750 0.000 0.752 La
0.000 0.667 0.333 La
0.750 0.752 0.000 La
0.000 0.333 0.667 La
0.500 0.333 0.667 La
0.250 0.000 0.248 La
0.750 0.000 0.382 Ru
0.250 0.382 0.382 Ru
0.750 0.618 0.618 Ru
0.250 0.618 0.000 Ru
0.250 0.000 0.618 Ru
0.750 0.382 0.000 Ru

***

AlVFe2 | Alexandria via LeMat-Bulk | SCAN | PBEsol geometry; total moment = 0.0 μB per cell; energy of formation from the pure elements = -0.37 eV/atom; SG = P4/mmm, No. 123
1.0
2.825 0.000 0.000
0.000 2.825 0.000
0.000 0.000 5.640
Fe Al V
2 1 1
Direct
0.000 0.000 0.260 Fe
0.000 0.000 0.740 Fe
0.500 0.500 0.000 Al
0.500 0.500 0.500 V

***

BiClO | Alexandria via LeMat-Bulk | SCAN | PBEsol geometry; formation energy from raw total energies = -1250 meV/atom; total moment = 0.0 μB per cell; SG = P4/nmm, No. 129
1.0
3.876 0.000 0.000
0.000 3.876 0.000
0.000 0.000 7.347
Cl O Bi
2 2 2
Direct
0.500 0.000 0.649 Cl
0.000 0.500 0.351 Cl
0.000 0.000 0.000 O
0.500 0.500 0.000 O
0.000 0.500 0.828 Bi
0.500 0.000 0.172 Bi

***

K3RbRh | Alexandria via LeMat-Bulk | SCAN | PBEsol geometry; total moment = 1.3 μB per cell; energy of formation from the pure elements = 1.19 eV/atom; SG = Pm-3m, No. 221; polymorph energy (0 for the lowest one) = 3.50 eV/f.u.
1.0
6.864 0.000 0.000
0.000 6.864 0.000
0.000 0.000 6.864
Rb K Rh
1 3 1
Direct
0.000 0.000 0.000 Rb
0.000 0.000 0.500 K
0.500 0.000 0.000 K
0.000 0.500 0.000 K
0.500 0.500 0.500 Rh

***

AlAs2Os | Alexandria via LeMat-Bulk | SCAN | PBEsol geometry; total moment = 0.0 μB per cell; energy of formation from the pure elements = 0.31 eV/atom; SG = Cmmm, No. 65
1.0
3.158 0.000 0.000
0.000 4.504 0.037
0.000 -1.236 4.331
As Os Al
2 1 1
Direct
0.000 0.000 0.500 As
0.000 0.500 0.000 As
0.500 0.000 0.000 Os
0.500 0.500 0.500 Al

***

LiInC3 | Alexandria via LeMat-Bulk | SCAN | PBEsol geometry; total moment = 0.0 μB per cell; energy of formation from the pure elements = 2.75 eV/atom; SG = Pm-3m, No. 221
1.0
-2.766 2.527 0.401
0.360 -0.200 3.745
2.533 2.787 -0.095
C In Li
3 1 1
Direct
0.000 0.000 0.500 C
0.500 0.000 0.000 C
0.000 0.500 0.000 C
0.500 0.500 0.500 In
0.000 0.000 0.000 Li

***

SiSbW2 | Alexandria via LeMat-Bulk | SCAN | PBEsol geometry; formation energy from raw total energies = 711 meV/atom; total moment = 0.0 μB per cell; SG = I-4m2, No. 119; polymorph energy (0 for the lowest one) = 1.20 eV/f.u.
1.0
4.100 0.000 0.000
0.000 4.100 0.000
-2.050 -2.050 3.883
Sb W Si
1 2 1
Direct
0.500 0.500 0.000 Sb
0.750 0.250 0.500 W
0.000 0.000 0.000 W
0.250 0.750 0.500 Si